Density functional theory data (PBE) for a geometry-optimized Fe3SbC structure.

Output
ΔE_f (raw): 2.967 eV/atom
Calculated density: 5.022 Mg/m³

The structure in POSCAR format:
```
Fe3SbC
1.0
4.636 0.000 0.000
0.000 4.636 0.000
0.000 0.000 4.636
Fe Sb C
3 1 1
Direct
0.000 0.000 0.500
0.000 0.500 0.000
0.500 0.000 0.000
0.000 0.000 0.000
0.500 0.500 0.500
```



Density functional theory data (PBE) for a geometry-optimized FeSbC2 structure.

Output
ΔE_f (raw): 1.024 eV/atom
Calculated density: 6.320 Mg/m³

The structure in POSCAR format:
```
FeSbC2
1.0
-2.392 2.392 4.631
2.392 -2.392 4.631
2.392 2.392 -4.631
Fe Sb C
2 2 4
Direct
0.000 0.000 0.000
0.750 0.250 0.500
0.250 0.750 0.500
0.500 0.500 0.000
0.058 0.625 0.933
0.375 0.308 0.433
0.692 0.125 0.067
0.875 0.942 0.567
```



Density functional theory data (PBE) for a geometry-optimized Fe2SbC structure.

Output
ΔE_f (raw): 1.271 eV/atom
Calculated density: 8.411 Mg/m³

The structure in POSCAR format:
```
Fe2SbC
1.0
0.000 2.894 2.894
2.894 0.000 2.894
2.894 2.894 0.000
Fe Sb C
2 1 1
Direct
0.250 0.250 0.250
0.750 0.750 0.750
0.000 0.000 0.000
0.500 0.500 0.500
```



Density functional theory data (PBE) for a geometry-optimized Fe2SbC structure.

Output
ΔE_f (raw): 0.513 eV/atom
Calculated density: 7.014 Mg/m³

The structure in POSCAR format:
```
Fe2SbC
1.0
-2.523 2.523 4.566
2.523 -2.523 4.566
2.523 2.523 -4.566
Fe Sb C
4 2 2
Direct
0.006 0.625 0.881
0.375 0.256 0.381
0.744 0.125 0.119
0.875 0.994 0.619
0.250 0.750 0.500
0.500 0.500 0.000
0.000 0.000 0.000
0.750 0.250 0.500
```



Density functional theory data (PBE) for a geometry-optimized FeSb3C structure.

Output
ΔE_f (raw): 1.218 eV/atom
E above lowest polymorph: 0.0 kJ/mol of atoms
Calculated density: 6.898 Mg/m³

The structure in POSCAR format:
```
FeSb3C
1.0
4.707 0.000 0.000
0.000 4.707 0.000
0.000 0.000 4.707
Fe Sb C
1 3 1
Direct
0.000 0.000 0.000
0.000 0.500 0.500
0.500 0.000 0.500
0.500 0.500 0.000
0.500 0.500 0.500
```



Density functional theory data (PBE) for a geometry-optimized FeSbC3 structure.

Output
ΔE_f (raw): 1.962 eV/atom
E above lowest polymorph: 0.0 kJ/mol of atoms
Calculated density: 6.184 Mg/m³

The structure in POSCAR format:
```
FeSbC3
1.0
3.857 0.000 0.000
0.000 3.857 0.000
0.000 0.000 3.857
Fe Sb C
1 1 3
Direct
0.000 0.000 0.000
0.500 0.500 0.500
0.000 0.000 0.500
0.000 0.500 0.000
0.500 0.000 0.000
```



Density functional theory data (PBE) for a geometry-optimized Fe3SbC structure.

Output
ΔE_f (raw): 0.139 eV/atom
Calculated density: 8.884 Mg/m³

The structure in POSCAR format:
```
Fe3SbC
1.0
3.833 0.000 0.000
0.000 3.833 0.000
0.000 0.000 3.833
Fe Sb C
3 1 1
Direct
0.000 0.000 0.500
0.000 0.500 0.000
0.500 0.000 0.000
0.500 0.500 0.500
0.000 0.000 0.000
```



Density functional theory data (PBE) for a geometry-optimized Sc2FeSbC structure.

Output
ΔE_f (raw): -0.461 eV/atom
Calculated density: 5.736 Mg/m³

The structure in POSCAR format:
```
Sc2FeSbC
1.0
4.612 0.000 0.000
0.000 4.612 0.000
0.000 0.000 3.804
Sc Fe Sb C
2 1 1 1
Direct
0.000 0.500 0.000
0.500 0.000 0.000
0.000 0.000 0.500
0.500 0.500 0.500
0.000 0.000 0.000
```